# PBE Co2ReRh, optimized geometry
# Volume = 12.51 A^3/atom
# DFT formation energy = 23 kJ/mol of formula units
# D(E_F) = 1.107 states/eV per atom
# Magnetic moment = 2.86 μB per cell
# Offset from the most stable computed form = 0.034 eV per atom
# VASP energy = -8.444 eV per atom
data_Co2ReRh
_cell_length_a 3.722
_cell_length_b 3.722
_cell_length_c 7.220
_cell_angle_alpha 90.00
_cell_angle_beta 90.00
_cell_angle_gamma 90.00
_symmetry_space_group_name_H-M 'P 1'
_symmetry_Int_Tables_number 1
_symmetry_space_group_name_Hall 'P 1'
loop_
_atom_site_label
_atom_site_fract_x
_atom_site_fract_y
_atom_site_fract_z
Co1 0.000 0.500 0.250
Co2 0.000 0.500 0.750
Co3 0.500 0.000 0.250
Co4 0.500 0.000 0.750
Re1 0.000 0.000 0.000
Re2 0.500 0.500 0.500
Rh1 0.000 0.000 0.500
Rh2 0.500 0.500 0.000